(1)
NaAl2Pt2: relaxed, PBE.

Results
ΔE to the lowest computed polymorph: 0 meV per atom
ρ: 9.5 g/cm³
crystal system: tetragonal

Cell lengths 7.644, 7.644, 2.785 Å; angles 90.00, 90.00, 90.00 degrees
Positions (direct):
1 Na 0.000 0.000 0.000
2 Na 0.500 0.500 0.000
3 Al 0.134 0.366 0.000
4 Al 0.366 0.866 0.000
5 Al 0.634 0.134 0.000
6 Al 0.866 0.634 0.000
7 Pt 0.161 0.661 0.500
8 Pt 0.339 0.161 0.500
9 Pt 0.661 0.839 0.500
10 Pt 0.839 0.339 0.500

---

(2)
La4NiPt: relaxed, PBE.

Results
ΔE to the lowest computed polymorph: 0 meV per atom
ρ: 7.6 g/cm³
crystal system: monoclinic

Cell lengths 6.492, 7.207, 7.911 Å; angles 90.00, 107.70, 90.00 degrees
Positions (direct):
1 La 0.004 0.002 0.242
2 La 0.004 0.498 0.242
3 La 0.438 0.250 0.616
4 La 0.444 0.250 0.105
5 La 0.556 0.750 0.895
6 La 0.562 0.750 0.384
7 La 0.996 0.502 0.758
8 La 0.996 0.998 0.758
9 Ni 0.222 0.750 0.057
10 Ni 0.778 0.250 0.943
11 Pt 0.216 0.750 0.552
12 Pt 0.784 0.250 0.448